AlHgSeBr2 | Alexandria | GGA-PBE | optimized geometry; space group = P4/mmm, No. 123; relative energy among the computed polymorphs = 2.47 eV per formula unit
1.0
-3.896 3.974 0.416
0.193 -0.393 5.564
3.763 3.675 0.129
Se Hg Br Al
1 1 2 1
direct
0.000 0.000 0.500
0.000 0.000 0.000
0.000 0.500 0.000
0.500 0.000 0.000
0.500 0.500 0.500

SrCoSb2 | Alexandria | GGA-PBE | optimized geometry; space group = Imm2, No. 44
1.0
8.021 0.048 -0.007
6.339 4.916 0.007
-7.056 -2.842 2.547
Co Sb Sr
1 2 1
direct
0.791 0.291 0.500
0.917 0.917 0.000
0.234 0.734 0.500
0.559 0.559 0.000

The following raw formation energy values (in meV per atom) correspond, in order, to the records above: 186 -174.